Compound: AcErZnSn
Source: Alexandria
Functional: PBE
Structure: relaxed

Geometry as POSCAR:
```
AcErZnSn
1.0
7.672 0.000 0.000
0.000 7.672 0.000
0.000 0.000 7.672
Ac Er Zn Sn
4 4 4 4
direct
0.000 0.000 0.000
0.000 0.500 0.500
0.500 0.000 0.500
0.500 0.500 0.000
0.000 0.000 0.500
0.000 0.500 0.000
0.500 0.000 0.000
0.500 0.500 0.500
0.250 0.250 0.250
0.250 0.750 0.750
0.750 0.250 0.750
0.750 0.750 0.250
0.250 0.250 0.750
0.250 0.750 0.250
0.750 0.250 0.250
0.750 0.750 0.750
```

Calculated values
Energy of formation: -9.5 kcal/mol of atoms

Compound: AcEr2Zn2Sn2
Source: Alexandria
Functional: PBE
Structure: relaxed

Geometry as POSCAR:
```
AcEr2Zn2Sn2
1.0
2.405 1.388 9.321
-2.405 1.388 9.321
0.000 -2.777 9.321
Ac Er Zn Sn
1 2 2 2
direct
0.000 0.000 0.000
0.134 0.134 0.134
0.866 0.866 0.866
0.433 0.433 0.433
0.567 0.567 0.567
0.258 0.258 0.258
0.742 0.742 0.742
```

Calculated values
Energy of formation: -7.9 kcal/mol of atoms